SmDy6Zn2: relaxed, PBE-GGA.

Calculated total energy   -3.6159 eV per atom
Space-group type   I4/mmm (139)
V   32.356 Å³ per atom
Energy of formation   0.260 eV/atom
Crystal system   tetragonal
Spin magnetization   0.00 μB/atom

Lattice parameters (Å, degrees): 13.153 13.153 13.153 159.03 159.03 29.82
Fractional positions:
Sm  0.000  0.000  0.000
Dy  0.109  0.609  0.500
Dy  0.250  0.750  0.500
Dy  0.391  0.891  0.500
Dy  0.609  0.109  0.500
Dy  0.750  0.250  0.500
Dy  0.891  0.391  0.500
Zn  0.322  0.322  0.000
Zn  0.678  0.678  0.000